# LaEr2Co

LaEr2Co after structural relaxation (PBE, Alexandria).

Formation energy from the elements in kJ/mol of atoms: -4.2
Polymorph energy (0 for the lowest one) in meV/atom: 120
VASP energy in eV per atom: -5.33
Space group: R3m
DOS at the Fermi energy in states/eV per atom: 1.07

Cell and atoms, written as POSCAR:
```
LaEr2Co
1.0
-1.6566 3.2555 1.0927
-3.7930 0.1890 0.3385
-1.1755 -1.4178 9.0936
La Er Co
1 2 1
direct
0.5015 0.5015 0.4956
0.2794 0.2794 0.1619
0.0529 0.0529 0.8413
0.6663 0.6663 0.0012
```